No. 1
First-principles (PBE) data for crystalline WAu at its relaxed geometry, as listed in Alexandria via LeMat-Bulk.

Properties
volume	17.047	Å³/atom
electronic total energy	-31.46	eV for the cell shown
DFT formation energy	0.25	eV per atom

abc: 2.776 2.776 9.304
angles: 90.00 90.00 108.03
Fractional positions:
Au1 0.500 0.500 0.742
W1 0.500 0.500 0.258
Au2 0.000 0.000 0.008
W2 0.000 0.000 0.492


No. 2
First-principles (PBE) data for crystalline Ba5Ta3 at its relaxed geometry, as listed in Alexandria via LeMat-Bulk.

Properties
volume	42.253	Å³/atom
electronic total energy	-38.37	eV for the cell shown
DFT formation energy	0.85	eV per atom

abc: 8.589 8.589 4.582
angles: 90.00 90.00 90.56
Fractional positions:
Ba1 0.000 0.500 0.000
Ta1 0.614 0.386 0.500
Ba2 0.746 0.746 0.500
Ta2 0.386 0.614 0.500
Ba3 0.500 0.000 0.000
Ba4 0.254 0.254 0.500
Ta3 0.500 0.500 0.000
Ba5 0.000 0.000 0.000


What is the formula in the second record?
Ba5Ta3